Record 1
The following is a PBE calculation of an optimized crystal structure of SeBr2Cl, from Alexandria via LeMat-Bulk.

Lattice parameters (Å, degrees): 11.9626 11.9626 11.9626 16.42 16.42 16.42
Closest atoms and distances in Å follow each position.
Sites, in units of the cell vectors:
1 Se 0.0000 0.0000 0.0000  2 Br 2.45
2 Br 0.0691 0.0691 0.0691  1 Se 2.45
3 Br 0.9309 0.9309 0.9309  1 Se 2.45
4 Cl 0.5000 0.5000 0.5000  6 Cl 3.42

Output
* raw total energy: -1.8415 eV/atom
* calculated density: 3.8 Mg/m³
* crystal system: trigonal
* E_form (uncorrected): 328 meV per atom

---

Record 2
The following is a PBE calculation of an optimized crystal structure of Se2BrCl, from Alexandria via LeMat-Bulk.

Lattice parameters (Å, degrees): 5.3116 5.3116 7.5750 98.76 98.76 40.28
Closest atoms and distances in Å follow each position.
Sites, in units of the cell vectors:
1 Se 0.0000 0.0000 0.0000  1 Br 2.37, 2 Se 2.54
2 Se 0.6212 0.6212 0.1966  2 Se 2.54, 2 Cl 2.62
3 Br 0.1105 0.1105 0.7452  1 Se 2.37
4 Cl 0.2495 0.2495 0.4078  2 Se 2.62

Output
* raw total energy: -2.7344 eV/atom
* calculated density: 3.3 Mg/m³
* crystal system: monoclinic
* E_form (uncorrected): -112 meV per atom

---

Record 3
The following is a PBE calculation of an optimized crystal structure of SeBrCl, from Alexandria via LeMat-Bulk.

Lattice parameters (Å, degrees): 5.3455 6.7169 7.0241 80.04 86.63 74.24
Closest atoms and distances in Å follow each position.
Sites, in units of the cell vectors:
1 Se 0.0000 0.0000 0.0000  2 Cl 2.25-2.28, 1 Se 2.38
2 Se 0.1840 0.2907 0.9624  1 Se 2.38, 1 Br 2.44
3 Br 0.4995 0.1976 0.2226  1 Se 2.44
4 Br 0.8305 0.3085 0.6919  2 Se 2.72-2.73
5 Cl 0.1449 0.8141 0.2886  1 Se 2.25
6 Cl 0.2775 0.7775 0.8230  1 Se 2.28

Output
* raw total energy: -2.5115 eV/atom
* calculated density: 2.7 Mg/m³
* crystal system: triclinic
* E_form (uncorrected): -177 meV per atom

---

Record 4
The following is a PBE calculation of an optimized crystal structure of SeBrCl2, from Alexandria via LeMat-Bulk.

Lattice parameters (Å, degrees): 12.8382 12.8382 12.8382 14.67 14.67 14.67
Closest atoms and distances in Å follow each position.
Sites, in units of the cell vectors:
1 Se 0.0000 0.0000 0.0000  2 Cl 2.27
2 Br 0.5000 0.5000 0.5000  6 Br 3.28
3 Cl 0.0596 0.0596 0.0596  1 Se 2.27
4 Cl 0.9404 0.9404 0.9404  1 Se 2.27

Output
* raw total energy: -2.0837 eV/atom
* calculated density: 3.2 Mg/m³
* crystal system: trigonal
* E_form (uncorrected): 129 meV per atom